Entry 1:
# LiYNi | Alexandria via LeMat-Bulk | PBE | relaxed
# Fermi-level density of states in states/eV per cell: 1.02
# M_tot in μB per atom: 0.00
# Distance to the lowest polymorph of the same formula in meV/atom: 620
# Space-group type: No. 216
data_LiYNi
_cell_length_a 4.531
_cell_length_b 4.531
_cell_length_c 4.531
_cell_angle_alpha 60.00
_cell_angle_beta 60.00
_cell_angle_gamma 60.00
_space_group_name_H-M_alt 'P 1'
_space_group_IT_number 1
_space_group_name_Hall 'P 1'
loop_
_atom_site_label
_atom_site_type_symbol
_atom_site_fract_x
_atom_site_fract_y
_atom_site_fract_z
Li1 Li 0.000 0.000 0.000
Y1 Y 0.750 0.750 0.750
Ni1 Ni 0.500 0.500 0.500


Entry 2:
# As2IrAuBr | Alexandria via LeMat-Bulk | PBE | relaxed
# Fermi-level density of states in states/eV per cell: 2.78
# M_tot in μB per atom: 0.00
# Formation energy (no corrections) in eV/atom: 0.62
# Distance to the lowest polymorph of the same formula in meV/atom: 0
# Space-group type: No. 123
data_As2IrAuBr
_cell_length_a 4.755
_cell_length_b 4.755
_cell_length_c 5.363
_cell_angle_alpha 90.00
_cell_angle_beta 90.00
_cell_angle_gamma 90.00
_space_group_name_H-M_alt 'P 1'
_space_group_IT_number 1
_space_group_name_Hall 'P 1'
loop_
_atom_site_label
_atom_site_type_symbol
_atom_site_fract_x
_atom_site_fract_y
_atom_site_fract_z
As1 As 0.000 0.500 0.000
As2 As 0.500 0.000 0.000
Ir1 Ir 0.000 0.000 0.000
Au1 Au 0.500 0.500 0.500
Br1 Br 0.000 0.000 0.500


Entry 3:
# Pr6Fe13Sn | Alexandria via LeMat-Bulk | PBE | relaxed
# Fermi-level density of states in states/eV per cell: 43.80
# M_tot in μB per atom: 1.32
# Total energy in eV per atom: -7.2116
# Space-group type: No. 140
data_Pr6Fe13Sn
_cell_length_a 13.163
_cell_length_b 13.163
_cell_length_c 13.163
_cell_angle_alpha 144.29
_cell_angle_beta 144.29
_cell_angle_gamma 51.39
_space_group_name_H-M_alt 'P 1'
_space_group_IT_number 1
_space_group_name_Hall 'P 1'
loop_
_atom_site_label
_atom_site_type_symbol
_atom_site_fract_x
_atom_site_fract_y
_atom_site_fract_z
Pr1 Pr 0.020 0.520 0.172
Pr2 Pr 0.104 0.104 0.000
Pr3 Pr 0.152 0.980 0.500
Pr4 Pr 0.348 0.848 0.828
Pr5 Pr 0.396 0.396 0.000
Pr6 Pr 0.480 0.652 0.500
Pr7 Pr 0.520 0.348 0.500
Pr8 Pr 0.604 0.604 0.000
Pr9 Pr 0.652 0.152 0.172
Pr10 Pr 0.848 0.020 0.500
Pr11 Pr 0.896 0.896 0.000
Pr12 Pr 0.980 0.480 0.828
Fe1 Fe 0.000 0.500 0.500
Fe2 Fe 0.021 0.295 0.500
Fe3 Fe 0.066 0.210 0.276
Fe4 Fe 0.121 0.621 0.858
Fe5 Fe 0.205 0.479 0.500
Fe6 Fe 0.210 0.934 0.143
Fe7 Fe 0.237 0.737 0.858
Fe8 Fe 0.263 0.121 0.500
Fe9 Fe 0.290 0.434 0.724
Fe10 Fe 0.295 0.795 0.274
Fe11 Fe 0.379 0.237 0.500
Fe12 Fe 0.434 0.710 0.143
Fe13 Fe 0.479 0.979 0.274
Fe14 Fe 0.500 0.000 0.500
Fe15 Fe 0.521 0.021 0.726
Fe16 Fe 0.566 0.290 0.857
Fe17 Fe 0.621 0.763 0.500
Fe18 Fe 0.705 0.205 0.726
Fe19 Fe 0.710 0.566 0.276
Fe20 Fe 0.737 0.879 0.500
Fe21 Fe 0.763 0.263 0.142
Fe22 Fe 0.790 0.066 0.857
Fe23 Fe 0.795 0.521 0.500
Fe24 Fe 0.879 0.379 0.142
Fe25 Fe 0.934 0.790 0.724
Fe26 Fe 0.979 0.705 0.500
Sn1 Sn 0.250 0.250 0.000
Sn2 Sn 0.750 0.750 0.000